This record from OQMD describes a geometry-optimized DyBeW structure. The functional is PBE.

For the energy, the calculation gives -6.32 eV/atom. The value obtained for the size of the total moment is 0.1 μB/cell.

Structure (POSCAR):
```
DyBeW
1.0
6.0640 0.0000 0.0000
0.0000 6.0640 0.0000
0.0000 0.0000 6.0640
Dy Be W
4 4 4
direct
0.0000 0.0000 0.0000
0.0000 0.5000 0.5000
0.5000 0.0000 0.5000
0.5000 0.5000 0.0000
0.2500 0.2500 0.2500
0.2500 0.7500 0.7500
0.7500 0.2500 0.7500
0.7500 0.7500 0.2500
0.0000 0.0000 0.5000
0.0000 0.5000 0.0000
0.5000 0.0000 0.0000
0.5000 0.5000 0.5000
```